Crystalline Hf2ZrMnBi at its relaxed geometry. Source: the Alexandria database, functional PBE.

## Properties
ΔH_f (0 K) in meV/atom: 1445
N(E_F) in states/eV per cell: 9.64

Unit cell a=5.3255 b=5.3255 c=4.6836 alpha=90.00 beta=90.00 gamma=90.00
Closest atoms and distances in Å follow each position.
Space group P4/mmm (No. 123)
Asymmetric unit:
1 Hf 0.0000 0.5000 0.0000  2 Bi 2.66
2 Zr 0.0000 0.0000 0.5000  8 Hf 3.55, 4 Mn 3.77
3 Mn 0.5000 0.5000 0.5000  2 Bi 2.34
4 Bi 0.5000 0.5000 0.0000  2 Mn 2.34



Crystalline Ho2Zn2Ru2C at its relaxed geometry. Source: the Alexandria database, functional PBE.

## Properties
ΔH_f (0 K) in meV/atom: -350
N(E_F) in states/eV per cell: 7.10

Unit cell a=10.8384 b=3.7869 c=7.1845 alpha=90.00 beta=124.03 gamma=90.00
Closest atoms and distances in Å follow each position.
Space group C2/m (No. 12)
Asymmetric unit:
1 Ho 0.0667 0.0000 0.2842  2 C 2.57
2 Zn 0.1347 0.5000 0.6624  1 Zn 2.52, 3 Ru 2.59-2.62
3 Ru 0.1952 0.5000 0.0700  1 C 1.88
4 C 0.0000 0.5000 0.0000  2 Ru 1.88



Crystalline NaNbH at its relaxed geometry. Source: the Alexandria database, functional PBE.

## Properties
Raw total energy in eV per cell: -55.78
N(E_F) in states/eV per cell: 6.59

Unit cell a=11.5780 b=3.1554 c=4.8429 alpha=90.00 beta=90.00 gamma=90.00
Closest atoms and distances in Å follow each position.
Space group Amm2 (No. 38)
Asymmetric unit:
1 Na 0.1287 0.0000 0.0000  3 H 2.27-2.30
2 Nb 0.3791 0.0000 0.5739  3 H 2.15-2.25
3 H 0.0000 0.0000 0.6389  6 Na 2.27-2.30
4 H 0.5000 0.0000 0.9108  6 Nb 2.15-2.25



Crystalline Y2Tm3Al4 at its relaxed geometry. Source: the Alexandria database, functional PBE.

## Properties
ΔH_f (0 K) in meV/atom: -222
N(E_F) in states/eV per cell: 36.87

Unit cell a=6.1634 b=19.4003 c=7.5630 alpha=90.00 beta=90.00 gamma=90.00
Closest atoms and distances in Å follow each position.
Space group Cmce (No. 64)
Asymmetric unit:
1 Y 0.0000 0.0900 0.1027  5 Al 3.08-3.38
2 Tm 0.0000 0.0000 0.5000  6 Al 2.94-2.96
3 Tm 0.2500 0.2479 0.7500  5 Al 3.07-3.13, 2 Tm 3.08
4 Al 0.0000 0.1513 0.4887  2 Al 2.80, 5 Tm 2.94-3.13
5 Al 0.2500 0.0866 0.7500  4 Al 2.80-3.08, 3 Tm 2.96-3.13, 2 Y 3.08